Record 1
! ZrCd2As (GGA-PBE, optimized geometry); values from VASP
&SYSTEM
  ibrav = 0, nat = 4, ntyp = 3
/
ATOMIC_SPECIES
As 74.92 As.upf
Zr 91.22 Zr.upf
Cd 112.41 Cd.upf
CELL_PARAMETERS angstrom
5.6702 -0.0067 0.0000
-2.9054 4.8693 0.0000
0.0000 0.0000 3.1043
ATOMIC_POSITIONS angstrom
As -1.4527 2.4346 1.5521
Zr 2.8351 -0.0033 1.5521
Cd 0.0000 0.0000 0.0000
Cd 1.3824 2.4313 0.0000
! - ΔH_f (0 K): -0.1241 eV/atom
! - Symmetry: Cmmm



Record 2
! RbSc2Nb (GGA-PBE, optimized geometry); values from VASP
&SYSTEM
  ibrav = 0, nat = 8, ntyp = 3
/
ATOMIC_SPECIES
Sc 44.96 Sc.upf
Rb 85.47 Rb.upf
Nb 92.91 Nb.upf
CELL_PARAMETERS angstrom
7.7543 0.0000 0.0000
0.0000 7.7543 0.0000
3.8772 3.8772 5.4978
ATOMIC_POSITIONS angstrom
Sc 9.6929 3.8771 4.1234
Sc 5.8158 3.8773 4.1234
Sc 7.7544 5.8158 1.3745
Sc 7.7542 1.9386 1.3745
Rb 3.8772 7.7543 2.7489
Rb 3.8772 3.8772 0.0000
Nb 7.7543 3.8772 2.7489
Nb 0.0000 0.0000 0.0000
! - Energy above the lowest structure with this stoichiometry: 760.2 meV per atom
! - ΔH_f (0 K): 1.2669 eV/atom
! - Symmetry: I4_1/amd



Record 3
! SiSI2N (GGA-PBE, optimized geometry); values from VASP
&SYSTEM
  ibrav = 0, nat = 5, ntyp = 4
/
ATOMIC_SPECIES
S 32.06 S.upf
I 126.90 I.upf
N 14.01 N.upf
Si 28.09 Si.upf
CELL_PARAMETERS angstrom
-4.1146 4.0520 1.5076
-1.9209 0.1510 -5.6487
-2.0950 -2.3688 0.6491
ATOMIC_POSITIONS angstrom
S -4.0652 0.9171 -1.7460
I -2.0573 2.0260 0.7538
I -0.9605 0.0755 -2.8244
N -1.0475 -1.1844 0.3245
Si 0.0000 0.0000 0.0000
! - Energy above the lowest structure with this stoichiometry: 0.0 meV per atom
! - Symmetry: P4/mmm
! - Uncorrected formation energy: 592 meV/atom



Record 4
! Ta4FeMo (GGA-PBE, optimized geometry); values from VASP
&SYSTEM
  ibrav = 0, nat = 6, ntyp = 3
/
ATOMIC_SPECIES
Mo 95.94 Mo.upf
Ta 180.95 Ta.upf
Fe 55.84 Fe.upf
CELL_PARAMETERS angstrom
0.0000 3.7914 3.7914
3.7914 0.0000 3.7914
3.7914 3.7914 0.0000
ATOMIC_POSITIONS angstrom
Mo 0.0000 0.0000 0.0000
Ta 2.8372 4.7457 4.7457
Ta 4.7457 4.7457 2.8372
Ta 4.7457 2.8372 4.7457
Ta 2.8372 2.8372 2.8372
Fe 5.6871 5.6871 5.6871
! - Energy above the lowest structure with this stoichiometry: 676.3 meV per atom
! - ΔH_f (0 K): 0.5416 eV/atom
! - Symmetry: F-43m



Record 5
! TaV3Br (GGA-PBE, optimized geometry); values from VASP
&SYSTEM
  ibrav = 0, nat = 5, ntyp = 3
/
ATOMIC_SPECIES
Ta 180.95 Ta.upf
V 50.94 V.upf
Br 79.90 Br.upf
CELL_PARAMETERS angstrom
4.7378 0.0000 0.0000
0.0000 4.7378 0.0000
0.0000 0.0000 4.7378
ATOMIC_POSITIONS angstrom
Ta 0.0000 0.0000 0.0000
V 0.0000 0.0000 2.3689
V 0.0000 2.3689 0.0000
V 2.3689 0.0000 0.0000
Br 2.3689 2.3689 2.3689
! - Energy above the lowest structure with this stoichiometry: 573.4 meV per atom
! - Symmetry: Pm-3m
! - Uncorrected formation energy: 1634 meV/atom



Record 6
! PmTl2In (GGA-PBE, optimized geometry); values from VASP
&SYSTEM
  ibrav = 0, nat = 4, ntyp = 3
/
ATOMIC_SPECIES
In 114.82 In.upf
Tl 204.38 Tl.upf
Pm 145.00 Pm.upf
CELL_PARAMETERS angstrom
3.9405 0.0000 0.0000
0.0000 3.9405 0.0000
0.0000 0.0000 7.2840
ATOMIC_POSITIONS angstrom
In 1.9702 1.9702 0.0000
Tl 0.0000 0.0000 1.7232
Tl 0.0000 0.0000 5.5608
Pm 1.9702 1.9702 3.6420
! - ΔH_f (0 K): -0.1705 eV/atom
! - Symmetry: P4/mmm



Record 7
! CdOs2Cl (GGA-PBE, optimized geometry); values from VASP
&SYSTEM
  ibrav = 0, nat = 4, ntyp = 3
/
ATOMIC_SPECIES
Cd 112.41 Cd.upf
Os 190.23 Os.upf
Cl 35.45 Cl.upf
CELL_PARAMETERS angstrom
-0.6566 1.5049 -2.2595
3.7465 -1.8458 -2.3181
-2.8881 -3.7661 -1.6690
ATOMIC_POSITIONS angstrom
Cd -1.7724 -1.1306 -1.9642
Os 0.0000 0.0000 0.0000
Os 1.5450 -0.1705 -2.2888
Cl 0.4292 -2.8059 -1.9936
! - Energy above the lowest structure with this stoichiometry: 755.2 meV per atom
! - Symmetry: Pmmm
! - Uncorrected formation energy: 996 meV/atom



Record 8
! Tl3C (GGA-PBE, optimized geometry); values from VASP
&SYSTEM
  ibrav = 0, nat = 16, ntyp = 2
/
ATOMIC_SPECIES
Tl 204.38 Tl.upf
C 12.01 C.upf
CELL_PARAMETERS angstrom
-4.9733 -2.1008 -3.0221
-1.6758 -3.1988 4.9815
-6.0660 8.9908 3.7326
ATOMIC_POSITIONS angstrom
Tl -4.8756 0.2533 0.2781
Tl -9.1977 0.9107 3.3781
Tl -5.4855 5.6777 3.8445
Tl -3.5174 2.7805 2.3140
Tl -9.1200 6.0672 2.9158
Tl -7.2296 -1.9864 1.8476
Tl -5.6314 0.6421 4.0293
Tl -7.0837 3.0492 1.6628
Tl -7.8395 3.4379 5.4140
Tl -11.2340 3.9288 4.6311
Tl -1.4811 -0.2376 1.0610
Tl -3.5951 -2.3760 2.7763
C -5.7014 -1.6602 3.5451
C -7.0136 5.3515 2.1469
C -5.8818 4.5841 5.8346
C -6.8333 -0.8929 -0.1426
! - Energy above the lowest structure with this stoichiometry: 405.9 meV per atom
! - ΔH_f (0 K): 0.9915 eV/atom
! - Symmetry: Pnma



Record 9
! Rb3Np2CrSe6 (GGA-PBE, optimized geometry); values from VASP
&SYSTEM
  ibrav = 0, nat = 12, ntyp = 4
/
ATOMIC_SPECIES
Se 78.96 Se.upf
Rb 85.47 Rb.upf
Cr 52.00 Cr.upf
Np 237.00 Np.upf
CELL_PARAMETERS angstrom
7.2335 -0.0010 -0.0006
-3.6159 6.2649 -0.0006
-1.2071 -2.0900 7.9545
ATOMIC_POSITIONS angstrom
Se -0.0505 -0.0874 6.4449
Se 2.4610 4.2613 1.5086
Se 0.1009 4.1745 6.4508
Se 3.5654 2.1736 6.4508
Se 2.3097 -0.0007 1.5026
Se -1.1549 2.0002 1.5026
Rb -2.3968 4.1672 3.9767
Rb 4.8073 0.0066 3.9767
Rb 1.2053 2.0869 3.9767
Cr 0.0000 0.0000 0.0000
Np 3.6155 2.0885 -0.0006
Np 0.0021 4.1753 -0.0006
! - Symmetry: C2/m
! - Uncorrected formation energy: -1068 meV/atom



Record 10
! Cd2HgMo (GGA-PBE, optimized geometry); values from VASP
&SYSTEM
  ibrav = 0, nat = 4, ntyp = 3
/
ATOMIC_SPECIES
Mo 95.94 Mo.upf
Hg 200.59 Hg.upf
Cd 112.41 Cd.upf
CELL_PARAMETERS angstrom
2.9117 0.0000 0.0000
0.0000 2.9117 0.0000
0.0000 0.0000 9.5195
ATOMIC_POSITIONS angstrom
Mo 1.4558 1.4558 7.1397
Hg 1.4558 1.4558 2.3799
Cd 0.0000 0.0000 9.3059
Cd 0.0000 0.0000 4.9734
! - ΔH_f (0 K): 0.3262 eV/atom
! - Symmetry: P4/mmm



Record 11
! Zn2Fe8Ge (GGA-PBE, optimized geometry); values from VASP
&SYSTEM
  ibrav = 0, nat = 11, ntyp = 3
/
ATOMIC_SPECIES
Fe 55.84 Fe.upf
Ge 72.64 Ge.upf
Zn 65.41 Zn.upf
CELL_PARAMETERS angstrom
4.3108 -1.1168 -2.2318
-0.8146 4.7744 -1.1477
-2.2183 1.8852 7.8634
ATOMIC_POSITIONS angstrom
Fe -0.3982 2.3393 0.6493
Fe 1.7849 1.6274 -0.4377
Fe 1.5139 3.9765 -1.0738
Fe -0.5071 3.9155 4.9217
Fe 1.6760 3.2035 3.8346
Fe -0.2361 1.5663 5.5577
Fe 1.6899 3.4836 1.3604
Fe -0.4121 2.0592 3.1235
Ge 0.0000 0.0000 0.0000
Zn 1.7627 1.1298 2.1327
Zn -0.4849 4.4130 2.3512
! - ΔH_f (0 K): 0.1127 eV/atom
! - Symmetry: P-1



Record 12
! Pm4NiAu2 (GGA-PBE, optimized geometry); values from VASP
&SYSTEM
  ibrav = 0, nat = 7, ntyp = 3
/
ATOMIC_SPECIES
Au 196.97 Au.upf
Pm 145.00 Pm.upf
Ni 58.69 Ni.upf
CELL_PARAMETERS angstrom
-4.4686 -2.5846 0.9411
2.7177 -3.8720 2.2707
0.2779 6.6400 4.9268
ATOMIC_POSITIONS angstrom
Au -1.0133 -2.4409 3.1136
Au -0.4596 2.6243 5.0250
Pm 1.3589 -1.9360 1.1353
Pm -0.2259 1.2901 2.4703
Pm -2.2343 -1.2923 0.4705
Pm -1.2470 -1.1067 5.6683
Ni 0.0000 0.0000 0.0000
! - Energy above the lowest structure with this stoichiometry: 144.3 meV per atom
! - ΔH_f (0 K): -0.3430 eV/atom
! - Symmetry: I4/mmm



Record 13
! Hg2IrS2 (GGA-PBE, optimized geometry); values from VASP
&SYSTEM
  ibrav = 0, nat = 10, ntyp = 3
/
ATOMIC_SPECIES
Ir 192.22 Ir.upf
Hg 200.59 Hg.upf
S 32.06 S.upf
CELL_PARAMETERS angstrom
-6.3457 1.3945 -3.3910
-3.4789 -0.1493 6.4487
0.5803 3.6048 0.3965
ATOMIC_POSITIONS angstrom
Ir -4.9123 0.6226 1.5288
Ir 0.0000 0.0000 0.0000
Hg -5.2513 0.3705 4.3173
Hg -4.5733 0.8747 -1.2597
Hg -7.6765 1.0998 1.2360
Hg -2.1481 0.1454 1.8217
S -6.8539 2.6155 3.2618
S -2.3904 2.2345 0.1924
S -6.1079 2.9084 -0.4935
S -3.1364 1.9416 3.9477
! - Energy above the lowest structure with this stoichiometry: 351.2 meV per atom
! - Symmetry: P4/mbm
! - Uncorrected formation energy: 917 meV/atom



Record 14
! PmGeBiO5 (GGA-PBE, optimized geometry); values from VASP
&SYSTEM
  ibrav = 0, nat = 16, ntyp = 4
/
ATOMIC_SPECIES
Ge 72.64 Ge.upf
O 16.00 O.upf
Pm 145.00 Pm.upf
Bi 208.98 Bi.upf
CELL_PARAMETERS angstrom
5.9689 -0.1726 0.1139
-1.9075 5.6585 0.1139
-1.5488 -2.0921 7.3919
ATOMIC_POSITIONS angstrom
Ge -0.5697 2.2390 5.6578
Ge 3.0822 1.1548 1.9619
O -2.2168 1.9415 6.3226
O 3.8669 -1.0456 5.6578
O 2.6106 2.2210 3.2995
O 0.5877 2.0991 6.9954
O 3.2785 -0.5075 2.6267
O -0.0980 1.1728 4.3202
O -0.7660 3.9012 4.9930
O -1.3544 4.4393 1.9619
O 1.9248 1.2946 0.6243
O 4.7293 1.4522 1.2971
Pm 0.0000 0.0000 0.0000
Pm -0.7744 -1.0460 3.6960
Bi 0.3439 3.1820 1.9619
Bi 2.1687 0.2117 5.6578
! - Symmetry: C2/c
! - Uncorrected formation energy: -2031 meV/atom



Record 15
! AlTlSb2Te (GGA-PBE, optimized geometry); values from VASP
&SYSTEM
  ibrav = 0, nat = 5, ntyp = 4
/
ATOMIC_SPECIES
Al 26.98 Al.upf
Te 127.60 Te.upf
Sb 121.76 Sb.upf
Tl 204.38 Tl.upf
CELL_PARAMETERS angstrom
5.3372 0.0000 0.0000
0.0000 5.3372 0.0000
0.0000 0.0000 5.5694
ATOMIC_POSITIONS angstrom
Al 0.0000 0.0000 0.0000
Te 0.0000 0.0000 2.7847
Sb 0.0000 2.6686 0.0000
Sb 2.6686 0.0000 0.0000
Tl 2.6686 2.6686 2.7847
! - Energy above the lowest structure with this stoichiometry: 0.0 meV per atom
! - Symmetry: P4/mmm
! - Uncorrected formation energy: 244 meV/atom



Record 16
! Ca2BeW (GGA-PBE, optimized geometry); values from VASP
&SYSTEM
  ibrav = 0, nat = 4, ntyp = 3
/
ATOMIC_SPECIES
Be 9.01 Be.upf
Ca 40.08 Ca.upf
W 183.84 W.upf
CELL_PARAMETERS angstrom
5.8848 0.0025 -0.0036
5.1204 2.9004 -0.0036
1.9272 0.5084 5.0469
ATOMIC_POSITIONS angstrom
Be 2.7922 0.7365 1.1978
Ca 10.7751 2.8422 0.3315
Ca 9.8234 2.5912 3.5255
W 7.0129 1.8498 2.4976
! - ΔH_f (0 K): 0.6765 eV/atom
! - Symmetry: Cm



Record 17
! BaAsOs2 (GGA-PBE, optimized geometry); values from VASP
&SYSTEM
  ibrav = 0, nat = 4, ntyp = 3
/
ATOMIC_SPECIES
As 74.92 As.upf
Os 190.23 Os.upf
Ba 137.33 Ba.upf
CELL_PARAMETERS angstrom
-3.5896 1.5014 -0.5347
-1.1160 -2.8365 -0.4728
-1.9423 -2.2596 6.6948
ATOMIC_POSITIONS angstrom
As -2.5594 -0.5233 1.2882
Os -0.2487 -0.3934 0.5652
Os -1.2805 -2.1547 2.5458
Ba -4.0885 -3.0714 4.3991
! - ΔH_f (0 K): 0.7990 eV/atom
! - Symmetry: P2/m



Record 18
! Tb2Pm6Sm3Mg (GGA-PBE, optimized geometry); values from VASP
&SYSTEM
  ibrav = 0, nat = 12, ntyp = 4
/
ATOMIC_SPECIES
Pm 145.00 Pm.upf
Sm 150.36 Sm.upf
Tb 158.93 Tb.upf
Mg 24.30 Mg.upf
CELL_PARAMETERS angstrom
6.2545 -0.0034 0.0041
-3.1287 5.4157 0.0041
-1.0540 -1.8250 11.6757
ATOMIC_POSITIONS angstrom
Pm 0.0026 3.5988 8.8051
Pm -0.0099 -0.0172 8.7839
Pm -1.0441 1.7866 2.8788
Pm 3.1159 1.8008 8.8051
Pm 2.0693 -0.0115 2.8788
Pm 2.0818 3.6045 2.9000
Sm -2.0929 3.6007 5.8420
Sm 1.0359 1.7937 5.8420
Sm 4.1648 -0.0134 5.8420
Tb 3.1268 1.8030 0.0041
Tb -0.0009 3.6094 0.0041
Mg 0.0000 0.0000 0.0000
! - ΔH_f (0 K): 0.0225 eV/atom
! - Symmetry: C2/m



Record 19
! Ca2Pr6Th (GGA-PBE, optimized geometry); values from VASP
&SYSTEM
  ibrav = 0, nat = 9, ntyp = 3
/
ATOMIC_SPECIES
Pr 140.91 Pr.upf
Ca 40.08 Ca.upf
Th 232.04 Th.upf
CELL_PARAMETERS angstrom
3.4351 -0.0070 -0.7038
-0.9845 9.5092 -4.9005
0.3400 -0.6013 10.5403
ATOMIC_POSITIONS angstrom
Pr 3.0850 -0.2882 6.4052
Pr 0.3398 3.0644 1.6872
Pr 1.4314 2.7600 -1.7760
Pr -0.2944 9.1892 -1.4692
Pr 1.0191 6.7422 -3.8282
Pr 2.4508 5.8365 3.2489
Ca 1.0677 2.8243 5.2660
Ca 1.7229 6.0766 -0.3299
Th 0.0000 0.0000 0.0000
! - ΔH_f (0 K): 0.1822 eV/atom
! - Symmetry: C2/m



Record 20
! Sc2AlZn6 (GGA-PBE, optimized geometry); values from VASP
&SYSTEM
  ibrav = 0, nat = 9, ntyp = 3
/
ATOMIC_SPECIES
Sc 44.96 Sc.upf
Zn 65.41 Zn.upf
Al 26.98 Al.upf
CELL_PARAMETERS angstrom
4.2134 0.0000 -1.3824
-0.7973 4.7435 -2.4300
0.1743 0.8837 7.6434
ATOMIC_POSITIONS angstrom
Sc 2.5191 0.7132 0.5657
Sc 1.0713 4.9141 3.2653
Zn -0.1923 1.1440 -0.5860
Zn 3.0422 3.1105 2.1601
Zn 3.4309 0.7977 3.3449
Zn 0.5482 2.5167 1.6709
Zn 0.1595 4.8296 0.4860
Zn -0.6050 3.5995 -1.8440
Al 1.7081 2.3718 -1.9062
! - ΔH_f (0 K): -0.1136 eV/atom
! - Symmetry: Immm